1) Entry from Alexandria via LeMat-Bulk: TbPr2Hg4 after structural relaxation (GGA-PBE).

Cell and atoms, written as POSCAR:
```
TbPr2Hg4
1.0
2.600 1.501 9.031
-2.600 1.501 9.031
0.000 -3.002 9.031
Tb Pr Hg
1 2 4
Cartesian
0.000 0.000 0.000 Tb
0.000 0.000 6.604 Pr
0.000 0.000 20.490 Pr
0.000 0.000 3.421 Hg
0.000 0.000 10.026 Hg
0.000 0.000 17.068 Hg
0.000 0.000 23.673 Hg
```

Values from the calculation:
magnetic moment = 0.00 μB per formula unit

***

2) Entry from Alexandria via LeMat-Bulk: TbPr2Hg4 after structural relaxation (GGA-PBE).

Cell and atoms, written as POSCAR:
```
TbPr2Hg4
1.0
-2.830 2.830 7.892
2.830 -2.830 7.892
2.830 2.830 -7.892
Tb Pr Hg
1 2 4
Cartesian
0.000 0.000 0.000 Tb
0.000 0.000 6.199 Pr
0.000 0.000 9.586 Pr
2.830 0.000 0.000 Hg
0.000 0.000 3.028 Hg
0.000 2.830 0.000 Hg
0.000 0.000 12.756 Hg
```

Values from the calculation:
magnetic moment = 0.00 μB per formula unit

***

Energy above the most stable structure, in eV/atom: 1) 0.000; 2) 0.298

***

1) Entry from Alexandria via LeMat-Bulk: TbPr4Hg after structural relaxation (GGA-PBE).

Cell and atoms, written as POSCAR:
```
TbPr4Hg
1.0
4.548 -7.145 0.000
4.548 7.145 0.000
-2.168 0.000 6.191
Tb Pr Hg
2 8 2
Cartesian
2.923 5.832 4.644 Tb
4.007 -5.832 1.548 Tb
0.064 1.622 5.420 Pr
2.662 2.698 2.790 Pr
1.148 -1.622 2.325 Pr
5.351 2.698 0.305 Pr
1.578 -2.698 5.886 Pr
5.781 1.622 3.867 Pr
4.267 -2.698 3.401 Pr
6.865 -1.622 0.771 Pr
2.923 0.026 4.644 Hg
4.007 -0.026 1.548 Hg
```

Values from the calculation:
magnetic moment = 0.00 μB per formula unit

***

2) Entry from Alexandria via LeMat-Bulk: TbPr4Hg after structural relaxation (GGA-PBE).

Cell and atoms, written as POSCAR:
```
TbPr4Hg
1.0
3.730 0.000 0.000
0.000 3.730 0.000
0.000 0.000 14.269
Tb Pr Hg
1 4 1
Cartesian
0.000 0.000 0.000 Tb
0.000 0.000 5.083 Pr
0.000 0.000 9.186 Pr
1.865 1.865 2.501 Pr
1.865 1.865 11.768 Pr
1.865 1.865 7.135 Hg
```

Values from the calculation:
magnetic moment = 0.00 μB per formula unit

***

Energy above the most stable structure, in eV/atom: 1) 0.092; 2) 0.000

***

1) Entry from Alexandria via LeMat-Bulk: TbPrTlHg after structural relaxation (GGA-PBE).

Cell and atoms, written as POSCAR:
```
TbPrTlHg
1.0
3.819 0.000 0.000
0.000 3.819 0.000
0.000 0.000 7.765
Tb Pr Tl Hg
1 1 1 1
Cartesian
0.000 0.000 0.000 Tb
0.000 0.000 4.022 Pr
1.909 1.909 1.923 Tl
1.909 1.909 6.062 Hg
```

Values from the calculation:
magnetic moment = 0.65 μB per formula unit

***

2) Entry from Alexandria via LeMat-Bulk: TbPrTlHg after structural relaxation (GGA-PBE).

Cell and atoms, written as POSCAR:
```
TbPrTlHg
1.0
0.000 3.843 3.843
3.843 0.000 3.843
3.843 3.843 0.000
Tb Pr Tl Hg
1 1 1 1
Cartesian
0.000 0.000 0.000 Tb
3.843 3.843 3.843 Pr
5.765 5.765 5.765 Tl
1.922 1.922 1.922 Hg
```

Values from the calculation:
magnetic moment = 0.79 μB per formula unit

***

Energy above the most stable structure, in eV/atom: 1) 0.000; 2) 0.009

***

1) Entry from Alexandria via LeMat-Bulk: TbPrTmHg after structural relaxation (GGA-PBE).

Cell and atoms, written as POSCAR:
```
TbPrTmHg
1.0
0.000 3.870 3.870
3.870 0.000 3.870
3.870 3.870 0.000
Tb Pr Tm Hg
1 1 1 1
Cartesian
0.000 0.000 0.000 Tb
3.870 3.870 3.870 Pr
5.805 5.805 5.805 Tm
1.935 1.935 1.935 Hg
```

Values from the calculation:
magnetic moment = 0.01 μB per formula unit

***

2) Entry from Alexandria via LeMat-Bulk: TbPrTmHg after structural relaxation (GGA-PBE).

Cell and atoms, written as POSCAR:
```
TbPrTmHg
1.0
3.651 0.000 0.000
0.000 3.651 0.000
0.000 0.000 8.882
Tb Pr Tm Hg
1 1 1 1
Cartesian
0.000 0.000 0.000 Tb
1.826 1.826 2.557 Pr
0.000 0.000 5.076 Tm
1.826 1.826 6.901 Hg
```

Values from the calculation:
magnetic moment = 0.00 μB per formula unit

***

Energy above the most stable structure, in eV/atom: 1) 0.163; 2) 0.000

***

1) Entry from Alexandria via LeMat-Bulk: Pr3TcHg after structural relaxation (GGA-PBE).

Cell and atoms, written as POSCAR:
```
Pr3TcHg
1.0
8.751 0.000 0.000
0.000 4.138 0.000
-3.707 0.000 8.124
Pr Tc Hg
6 2 2
Cartesian
-0.596 1.035 2.831 Pr
-0.972 1.035 7.735 Pr
2.415 3.104 2.653 Pr
2.629 1.035 5.471 Pr
6.017 3.104 0.390 Pr
5.640 3.104 5.293 Pr
0.343 3.104 0.494 Tc
4.702 1.035 7.630 Tc
0.152 3.104 5.419 Hg
4.893 1.035 2.706 Hg
```

Values from the calculation:
magnetic moment = 0.00 μB per formula unit

***

2) Entry from Alexandria via LeMat-Bulk: Pr3TcHg after structural relaxation (GGA-PBE).

Cell and atoms, written as POSCAR:
```
Pr3TcHg
1.0
5.453 0.000 0.000
0.000 5.453 0.000
0.000 0.000 5.453
Pr Tc Hg
3 1 1
Cartesian
0.000 0.000 2.727 Pr
0.000 2.727 0.000 Pr
2.727 0.000 0.000 Pr
0.000 0.000 0.000 Tc
2.727 2.727 2.727 Hg
```

Values from the calculation:
magnetic moment = 0.00 μB per formula unit

***

Energy above the most stable structure, in eV/atom: 1) 0.000; 2) 0.229

***

1) Entry from Alexandria via LeMat-Bulk: Pr4HgTe after structural relaxation (GGA-PBE).

Cell and atoms, written as POSCAR:
```
Pr4HgTe
1.0
6.345 0.000 0.000
0.000 8.624 0.000
-2.510 0.000 7.937
Pr Hg Te
8 2 2
Cartesian
-0.419 0.375 1.983 Pr
-0.419 3.937 1.983 Pr
0.021 2.156 7.933 Pr
1.426 6.468 3.941 Pr
2.409 2.156 3.996 Pr
3.814 6.468 0.004 Pr
4.254 4.687 5.954 Pr
4.254 8.250 5.954 Pr
0.844 6.468 0.608 Hg
2.991 2.156 7.329 Hg
-0.676 2.156 4.639 Te
4.511 6.468 3.298 Te
```

Values from the calculation:
magnetic moment = 0.00 μB per formula unit

***

2) Entry from Alexandria via LeMat-Bulk: Pr4HgTe after structural relaxation (GGA-PBE).

Cell and atoms, written as POSCAR:
```
Pr4HgTe
1.0
7.649 0.000 0.000
0.000 4.818 0.000
0.000 0.000 21.470
Pr Hg Te
16 4 4
Cartesian
0.366 1.204 1.557 Pr
0.545 1.204 16.843 Pr
0.670 1.204 7.717 Pr
1.015 1.204 11.611 Pr
2.810 3.613 0.876 Pr
3.154 3.613 18.452 Pr
3.279 3.613 6.108 Pr
3.458 3.613 12.292 Pr
4.191 1.204 9.178 Pr
4.370 1.204 15.362 Pr
4.495 1.204 3.018 Pr
4.840 1.204 20.595 Pr
6.634 3.613 9.859 Pr
6.979 3.613 13.753 Pr
7.104 3.613 4.627 Pr
7.283 3.613 19.913 Pr
1.691 1.204 20.037 Hg
2.134 3.613 9.302 Hg
5.516 1.204 12.169 Hg
5.958 3.613 1.434 Hg
1.668 1.204 4.581 Te
2.157 3.613 15.316 Te
5.492 1.204 6.154 Te
5.982 3.613 16.889 Te
```

Values from the calculation:
magnetic moment = 0.00 μB per formula unit

***

Energy above the most stable structure, in eV/atom: 1) 0.182; 2) 0.000